A | Density functional theory data (SCAN) for a PBEsol-optimized structure of Sn.

CIF file:
```
data_Sn
_chemical_formula_sum 'Sn8'
_symmetry_space_group_name_H-M 'P 1'
_symmetry_Int_Tables_number 1
_symmetry_space_group_name_Hall 'P 1'
_cell_length_a 5.986
_cell_length_b 5.986
_cell_length_c 5.986
_cell_angle_alpha 90.00
_cell_angle_beta 90.00
_cell_angle_gamma 90.00
loop_
_atom_site_label
_atom_site_type_symbol
_atom_site_fract_x
_atom_site_fract_y
_atom_site_fract_z
Sn1 Sn 0.691 0.309 0.809
Sn2 Sn 0.191 0.309 0.691
Sn3 Sn 0.309 0.809 0.691
Sn4 Sn 0.809 0.691 0.309
Sn5 Sn 0.309 0.691 0.191
Sn6 Sn 0.191 0.191 0.191
Sn7 Sn 0.809 0.809 0.809
Sn8 Sn 0.691 0.191 0.309
```

## Properties
- calculated density (Mg/m³) = 7.4
- density of states at the Fermi level (states/eV/cell) = 3.558
- calculated volume (Å³/f.u.) = 27
- space group = Pa-3, No. 205
- magnetization (μB/atom) = 0.00

B | Density functional theory data (SCAN) for a PBEsol-optimized structure of Sn.

CIF file:
```
data_Sn
_chemical_formula_sum 'Sn1'
_symmetry_space_group_name_H-M 'P 1'
_symmetry_Int_Tables_number 1
_symmetry_space_group_name_Hall 'P 1'
_cell_length_a 3.232
_cell_length_b 3.232
_cell_length_c 3.232
_cell_angle_alpha 109.47
_cell_angle_beta 109.47
_cell_angle_gamma 109.47
loop_
_atom_site_label
_atom_site_type_symbol
_atom_site_fract_x
_atom_site_fract_y
_atom_site_fract_z
Sn1 Sn 0.000 0.000 0.000
```

## Properties
- calculated density (Mg/m³) = 7.6
- density of states at the Fermi level (states/eV/cell) = 0.505
- calculated volume (Å³/f.u.) = 26
- space group = Im-3m, No. 229
- magnetization (μB/atom) = 0.00

A comes first in stability; the runner-up is 8.2 kJ/mol of atoms higher.

A | Density functional theory data (SCAN) for a PBEsol-optimized structure of TaTl3Sn.

CIF file:
```
data_TaTl3Sn
_chemical_formula_sum 'Ta1 Tl3 Sn1'
_symmetry_space_group_name_H-M 'P 1'
_symmetry_Int_Tables_number 1
_symmetry_space_group_name_Hall 'P 1'
_cell_length_a 5.507
_cell_length_b 5.507
_cell_length_c 5.507
_cell_angle_alpha 90.00
_cell_angle_beta 90.00
_cell_angle_gamma 90.00
loop_
_atom_site_label
_atom_site_type_symbol
_atom_site_fract_x
_atom_site_fract_y
_atom_site_fract_z
Tl1 Tl 0.500 0.000 0.000
Tl2 Tl 0.000 0.500 0.000
Tl3 Tl 0.000 0.000 0.500
Sn1 Sn 0.000 0.000 0.000
Ta1 Ta 0.500 0.500 0.500
```

## Properties
- calculated density (Mg/m³) = 9.1
- density of states at the Fermi level (states/eV/cell) = 7.084
- calculated volume (Å³/f.u.) = 167
- space group = Pm-3m, No. 221
- magnetization (μB/atom) = 0.74

B | Density functional theory data (SCAN) for a PBEsol-optimized structure of TaTl3Sn.

CIF file:
```
data_TaTl3Sn
_chemical_formula_sum 'Ta1 Tl3 Sn1'
_symmetry_space_group_name_H-M 'P 1'
_symmetry_Int_Tables_number 1
_symmetry_space_group_name_Hall 'P 1'
_cell_length_a 5.379
_cell_length_b 5.379
_cell_length_c 5.379
_cell_angle_alpha 90.00
_cell_angle_beta 90.00
_cell_angle_gamma 90.00
loop_
_atom_site_label
_atom_site_type_symbol
_atom_site_fract_x
_atom_site_fract_y
_atom_site_fract_z
Ta1 Ta 0.000 0.000 0.000
Tl1 Tl 0.000 0.500 0.000
Tl2 Tl 0.500 0.000 0.000
Tl3 Tl 0.000 0.000 0.500
Sn1 Sn 0.500 0.500 0.500
```

## Properties
- calculated density (Mg/m³) = 9.7
- density of states at the Fermi level (states/eV/cell) = 2.327
- calculated volume (Å³/f.u.) = 156
- space group = Pm-3m, No. 221
- magnetization (μB/atom) = 0.00

B comes first in stability; the runner-up is 78.8 kJ/mol of atoms higher.

A | Density functional theory data (SCAN) for a PBEsol-optimized structure of TaZn3Sn.

CIF file:
```
data_TaZn3Sn
_chemical_formula_sum 'Ta1 Zn3 Sn1'
_symmetry_space_group_name_H-M 'P 1'
_symmetry_Int_Tables_number 1
_symmetry_space_group_name_Hall 'P 1'
_cell_length_a 4.816
_cell_length_b 4.816
_cell_length_c 4.816
_cell_angle_alpha 90.00
_cell_angle_beta 90.00
_cell_angle_gamma 90.00
loop_
_atom_site_label
_atom_site_type_symbol
_atom_site_fract_x
_atom_site_fract_y
_atom_site_fract_z
Zn1 Zn 0.500 0.000 0.000
Zn2 Zn 0.000 0.500 0.000
Zn3 Zn 0.000 0.000 0.500
Sn1 Sn 0.000 0.000 0.000
Ta1 Ta 0.500 0.500 0.500
```

## Properties
- calculated density (Mg/m³) = 7.4
- density of states at the Fermi level (states/eV/cell) = 4.108
- calculated volume (Å³/f.u.) = 112
- space group = Pm-3m, No. 221
- magnetization (μB/atom) = 0.48

B | Density functional theory data (SCAN) for a PBEsol-optimized structure of TaZn3Sn.

CIF file:
```
data_TaZn3Sn
_chemical_formula_sum 'Ta1 Zn3 Sn1'
_symmetry_space_group_name_H-M 'P 1'
_symmetry_Int_Tables_number 1
_symmetry_space_group_name_Hall 'P 1'
_cell_length_a 4.936
_cell_length_b 4.936
_cell_length_c 4.936
_cell_angle_alpha 90.00
_cell_angle_beta 90.00
_cell_angle_gamma 90.00
loop_
_atom_site_label
_atom_site_type_symbol
_atom_site_fract_x
_atom_site_fract_y
_atom_site_fract_z
Zn1 Zn 0.000 0.500 0.000
Zn2 Zn 0.500 0.000 0.000
Zn3 Zn 0.000 0.000 0.500
Ta1 Ta 0.000 0.000 0.000
Sn1 Sn 0.500 0.500 0.500
```

## Properties
- calculated density (Mg/m³) = 6.8
- density of states at the Fermi level (states/eV/cell) = 4.774
- calculated volume (Å³/f.u.) = 120
- space group = Pm-3m, No. 221
- magnetization (μB/atom) = 0.00

B comes first in stability; the runner-up is 45.1 kJ/mol of atoms higher.

A | Density functional theory data (SCAN) for a PBEsol-optimized structure of SrTaTc2.

CIF file:
```
data_SrTaTc2
_chemical_formula_sum 'Sr1 Ta1 Tc2'
_symmetry_space_group_name_H-M 'P 1'
_symmetry_Int_Tables_number 1
_symmetry_space_group_name_Hall 'P 1'
_cell_length_a 3.139
_cell_length_b 5.185
_cell_length_c 5.594
_cell_angle_alpha 104.55
_cell_angle_beta 90.00
_cell_angle_gamma 107.62
loop_
_atom_site_label
_atom_site_type_symbol
_atom_site_fract_x
_atom_site_fract_y
_atom_site_fract_z
Sr1 Sr 0.493 0.987 0.491
Tc1 Tc 0.005 0.010 0.007
Tc2 Tc 0.710 0.421 0.143
Ta1 Ta 0.291 0.582 0.858
```

## Properties
- calculated density (Mg/m³) = 9.2
- density of states at the Fermi level (states/eV/cell) = 3.712
- calculated volume (Å³/f.u.) = 84
- space group = Cm, No. 8
- magnetization (μB/atom) = 0.00

B | Density functional theory data (SCAN) for a PBEsol-optimized structure of SrTaTc2.

CIF file:
```
data_SrTaTc2
_chemical_formula_sum 'Sr1 Ta1 Tc2'
_symmetry_space_group_name_H-M 'P 1'
_symmetry_Int_Tables_number 1
_symmetry_space_group_name_Hall 'P 1'
_cell_length_a 3.085
_cell_length_b 4.926
_cell_length_c 5.635
_cell_angle_alpha 115.92
_cell_angle_beta 105.89
_cell_angle_gamma 90.00
loop_
_atom_site_label
_atom_site_type_symbol
_atom_site_fract_x
_atom_site_fract_y
_atom_site_fract_z
Sr1 Sr 0.493 0.493 0.987
Ta1 Ta 0.276 0.776 0.552
Tc1 Tc 0.008 0.008 0.016
Tc2 Tc 0.722 0.222 0.445
```

## Properties
- calculated density (Mg/m³) = 10.5
- density of states at the Fermi level (states/eV/cell) = 3.348
- calculated volume (Å³/f.u.) = 73
- space group = Imm2, No. 44
- magnetization (μB/atom) = 0.00

A comes first in stability; the runner-up is 19.9 kJ/mol of atoms higher.